Entry 1:
Entry from the Alexandria database: an optimized crystal structure of Cs4PbI6 (PBEsol).

The calculation puts the volume at 542.1 Å³/f.u. The formation energy from raw total energies comes out at -1.310 eV/atom.

The space group is R-3c (No. 167, hexagonal axes) and the conventional cell measures 14.3886, 14.3886 and 18.1419 Å, with angles of 90.00, 90.00 and 120.00 degrees. The asymmetric unit holds Cs at (0.0000, 0.0000, 0.2500), Cs at (0.0000, 0.3815, 0.2500), Pb at (0.0000, 0.0000, 0.0000) and I at (0.0319, 0.1962, 0.3977).

Entry 2:
Entry from the Alexandria database: an optimized crystal structure of LiLaB2 (PBEsol).

The calculation puts the volume at 60.8 Å³/f.u. For the energy of formation, the calculation gives 2.3 eV/f.u.

The space group is Fm-3m (No. 225) and the conventional cell measures 6.242, 6.242 and 6.242 Å, with angles of 90.00, 90.00 and 90.00 degrees. The asymmetric unit holds Li at (0.000, 0.000, 0.000), La at (0.000, 0.000, 0.500) and B at (0.250, 0.250, 0.250).

Entry 3:
Entry from the Alexandria database: an optimized crystal structure of Ba2TlAg (PBEsol).

The calculation puts the volume at 165.5 Å³/f.u. For the energy of formation, the calculation gives -1.0 eV/f.u. For the distance to the lowest polymorph of the same formula, the calculation gives 49 meV per atom.

The space group is R3m (No. 160, hexagonal axes) and the conventional cell measures 4.9795, 4.9795 and 23.1149 Å, with angles of 90.00, 90.00 and 120.00 degrees. The asymmetric unit holds Ba at (0.0000, 0.0000, 0.0000), Ba at (0.0000, 0.0000, 0.1725), Tl at (0.0000, 0.0000, 0.7523) and Ag at (0.0000, 0.0000, 0.4194).

Entry 4:
Entry from the Alexandria database: an optimized crystal structure of YCoGe2 (PBEsol).

The calculation puts the volume at 68.6 Å³/f.u. For the energy of formation, the calculation gives -2.9 eV/f.u.

The space group is Cmcm (No. 63) and the conventional cell measures 4.088, 16.390 and 4.093 Å, with angles of 90.00, 90.00 and 90.00 degrees. The asymmetric unit holds Y at (0.000, 0.110, 0.250), Co at (0.000, 0.319, 0.250), Ge at (0.000, 0.250, 0.750) and Ge at (0.000, 0.455, 0.250).

Entry 5:
Entry from the Alexandria database: an optimized crystal structure of KMnBi3 (PBEsol).

The calculation puts the volume at 154.2 Å³/f.u. For the energy of formation, the calculation gives 0.7 eV/f.u.

The space group is Pm-3m (No. 221) and the conventional cell measures 5.363, 5.363 and 5.363 Å, with angles of 90.00, 90.00 and 90.00 degrees. The asymmetric unit holds K at (0.000, 0.000, 0.000), Mn at (0.500, 0.500, 0.500) and Bi at (0.000, 0.500, 0.500).

Entry 6:
Entry from the Alexandria database: an optimized crystal structure of Ca2ZnTe (PBEsol).

The calculation puts the volume at 118.9 Å³/f.u. The formation energy from raw total energies comes out at -0.700 eV/atom. For the distance to the lowest polymorph of the same formula, the calculation gives 0 meV per atom.

The space group is C2/m (No. 12) and the conventional cell measures 7.550, 4.324 and 7.689 Å, with angles of 90.00, 108.68 and 90.00 degrees. The asymmetric unit holds Ca at (0.250, 0.000, 0.247), Zn at (0.000, 0.500, 0.000) and Te at (0.000, 0.000, 0.500).

- Which formula does entry 1 have?
  Cs4PbI6